No. 1
Entry from Alexandria: a geometry-optimized Sr2Nd2Pd15 structure (PBE).

The structure in POSCAR format:
```
Sr2Nd2Pd15
1.0
-0.444 -5.677 -4.428
3.152 -4.892 4.262
-5.965 -2.991 2.739
Pd Nd Sr
15 2 2
Cartesian
-2.983 -1.495 1.369
0.639 -5.440 -1.810
0.820 -7.353 0.324
0.405 -4.319 3.803
-2.108 -4.867 -2.269
-1.902 -6.029 3.857
-4.302 -3.800 0.580
0.417 -7.144 2.999
-1.356 -7.531 -1.285
-4.078 -6.207 2.248
-3.219 -3.563 3.198
1.576 -2.446 2.131
-3.675 -6.415 -0.426
2.068 -5.129 1.644
-0.222 -2.838 -2.214
-2.898 -12.060 2.288
-0.360 -1.500 0.285
-2.078 -8.648 1.641
-1.180 -4.911 0.932
```

Values from the calculation:
density: 9.4 g/cm³
E_tot: -99.716 eV per cell
ΔH_f (0 K): -470 meV/atom
space group: R-3m (166)

---

No. 2
Entry from Alexandria: a geometry-optimized SrNdPd structure (PBE).

The structure in POSCAR format:
```
SrNdPd
1.0
4.095 0.000 0.000
0.000 6.977 0.000
-2.048 -3.489 6.754
Pd Nd Sr
2 2 2
Cartesian
2.048 0.000 4.946
0.000 3.489 1.808
0.000 0.000 3.015
2.048 3.489 3.739
2.048 1.795 0.000
2.048 5.183 0.000
```

Values from the calculation:
polymorph energy (0 for the lowest one): 0.0446 eV/atom
density: 5.8 g/cm³
E_tot: -25.518 eV per cell
ΔH_f (0 K): -372 meV/atom
space group: Immm (71)

---

The lowest density belongs to which entry?
SrNdPd

---

Which formula does entry 2 have?
SrNdPd

---

Number 1 is which compound?
Sr2Nd2Pd15

---

ΔH_f (0 K) of number 2 (SrNdPd)?
-372 meV/atom